Entry from Alexandria: an optimized crystal structure of Tl4SbOs (PBE).

Results
Formation energy without anion corrections, eV/atom: 1.0868
Calculated density, kg/m³: 11180
VASP energy, eV per cell: -73.19

Cell and atoms, written as CIF:
```
data_Tl4SbOs
_chemical_formula_sum 'Tl16 Sb4 Os4'
_cell_length_a 8.755
_cell_length_b 8.755
_cell_length_c 8.755
_cell_angle_alpha 90.00
_cell_angle_beta 90.00
_cell_angle_gamma 90.00
_space_group_name_H-M_alt 'F -4 3 m'
_space_group_IT_number 216
_space_group_name_Hall 'F -4 2 3'
loop_
_atom_site_label
_atom_site_fract_x
_atom_site_fract_y
_atom_site_fract_z
_atom_site_occupancy
Tl1 0.125 0.125 0.125 1
Sb1 0.000 0.000 0.500 1
Os1 0.250 0.250 0.750 1
```

Entry from Alexandria: an optimized crystal structure of Pr2MgAl4Cu3 (PBE).

Results
Calculated density, kg/m³: 5117
VASP energy, eV per cell: -41.86
ΔE_f, kJ/mol of formula units: -333.1

Cell and atoms, written as CIF:
```
data_Pr2MgAl4Cu3
_chemical_formula_sum 'Pr2 Mg1 Al4 Cu3'
_cell_length_a 4.226
_cell_length_b 4.226
_cell_length_c 10.986
_cell_angle_alpha 90.00
_cell_angle_beta 90.00
_cell_angle_gamma 90.00
_space_group_name_H-M_alt 'P -4 m 2'
_space_group_IT_number 115
loop_
_space_group_symop_operation_xyz
'x,y,z'
'y,-x,-z'
'-x,-y,z'
'-y,x,-z'
'-x,y,z'
'-y,-x,-z'
'x,-y,z'
'y,x,-z'
loop_
_atom_site_label
_atom_site_fract_x
_atom_site_fract_y
_atom_site_fract_z
_atom_site_occupancy
Pr1 0.000 0.500 0.236 1
Mg1 0.000 0.000 0.500 1
Al1 0.000 0.000 0.000 1
Al2 0.000 0.500 0.654 1
Al3 0.500 0.500 0.000 1
Cu1 0.000 0.500 0.877 1
Cu2 0.500 0.500 0.500 1
```

Entry from Alexandria: an optimized crystal structure of CsMg3Au (PBE).

Results
Energy relative to the lowest polymorph listed for this composition, meV/atom: 0
Calculated density, kg/m³: 4299
VASP energy, eV per cell: -9.27
ΔE_f, kJ/mol of formula units: -34.3

Cell and atoms, written as CIF:
```
data_CsMg3Au
_chemical_formula_sum 'Cs1 Mg3 Au1'
_cell_length_a 5.379
_cell_length_b 5.379
_cell_length_c 5.379
_cell_angle_alpha 90.00
_cell_angle_beta 90.00
_cell_angle_gamma 90.00
_space_group_name_H-M_alt 'P m -3 m'
_space_group_IT_number 221
_space_group_name_Hall '-P 4 2 3'
loop_
_atom_site_label
_atom_site_fract_x
_atom_site_fract_y
_atom_site_fract_z
_atom_site_occupancy
Cs1 0.000 0.000 0.000 1
Mg1 0.000 0.500 0.500 1
Au1 0.500 0.500 0.500 1
```

Entry from Alexandria: an optimized crystal structure of BiAuI2N (PBE).

Results
Energy relative to the lowest polymorph listed for this composition, meV/atom: 167
Formation energy without anion corrections, eV/atom: 0.9815
Calculated density, kg/m³: 6722
VASP energy, eV per cell: -13.68

Cell and atoms, written as CIF:
```
data_BiAuI2N
_chemical_formula_sum 'Bi1 Au1 I2 N1'
_cell_length_a 6.263
_cell_length_b 6.263
_cell_length_c 4.243
_cell_angle_alpha 90.00
_cell_angle_beta 90.00
_cell_angle_gamma 90.00
_space_group_name_H-M_alt 'P 4/m m m'
_space_group_IT_number 123
_space_group_name_Hall '-P 4 2'
loop_
_atom_site_label
_atom_site_fract_x
_atom_site_fract_y
_atom_site_fract_z
_atom_site_occupancy
Bi1 0.000 0.000 0.000 1
Au1 0.500 0.500 0.500 1
I1 0.000 0.500 0.000 1
N1 0.000 0.000 0.500 1
```

Entry from Alexandria: an optimized crystal structure of La6Ho5 (PBE).

Results
Calculated density, kg/m³: 7184
VASP energy, eV per cell: -102.46
ΔE_f, kJ/mol of formula units: 117.9

Cell and atoms, written as CIF:
```
data_La6Ho5
_chemical_formula_sum 'La12 Ho10'
_cell_length_a 10.081
_cell_length_b 16.164
_cell_length_c 5.689
_cell_angle_alpha 90.00
_cell_angle_beta 124.23
_cell_angle_gamma 90.00
_space_group_name_H-M_alt 'C 1 2/m 1'
_space_group_IT_number 12
loop_
_space_group_symop_operation_xyz
'x,y,z'
'-x,-y,-z'
'-x,y,-z'
'x,-y,z'
'x+1/2,y+1/2,z'
'-x+1/2,-y+1/2,-z'
'-x+1/2,y+1/2,-z'
'x+1/2,-y+1/2,z'
loop_
_atom_site_label
_atom_site_fract_x
_atom_site_fract_y
_atom_site_fract_z
_atom_site_occupancy
La1 0.207 0.000 0.210 1
La2 0.209 0.140 0.709 1
Ho1 0.000 0.201 0.000 1
Ho2 0.000 0.339 0.500 1
Ho3 0.000 0.500 0.000 1
```

Entry from Alexandria: an optimized crystal structure of Pu2InHPd6 (PBE).

Results
Calculated density, kg/m³: 11354
VASP energy, eV per cell: -69.95

Cell and atoms, written as CIF:
```
data_Pu2InHPd6
_chemical_formula_sum 'Pu2 In1 H1 Pd6'
_cell_length_a 5.743
_cell_length_b 5.744
_cell_length_c 7.151
_cell_angle_alpha 66.60
_cell_angle_beta 66.55
_cell_angle_gamma 60.12
_space_group_name_H-M_alt 'P -1'
_space_group_IT_number 2
loop_
_space_group_symop_operation_xyz
'x,y,z'
'-x,-y,-z'
loop_
_atom_site_label
_atom_site_fract_x
_atom_site_fract_y
_atom_site_fract_z
_atom_site_occupancy
Pu1 0.231 0.232 0.314 1
In1 0.500 0.500 0.500 1
H1 0.000 0.000 0.000 1
Pd1 0.221 0.719 0.829 1
Pd2 0.223 0.222 0.817 1
Pd3 0.278 0.781 0.173 1
```

Entry from Alexandria: an optimized crystal structure of KFeI3 (PBE).

Results
Energy relative to the lowest polymorph listed for this composition, meV/atom: 152
Formation energy without anion corrections, eV/atom: -0.4478
Calculated density, kg/m³: 4882
VASP energy, eV per cell: -65.80

Cell and atoms, written as CIF:
```
data_KFeI3
_chemical_formula_sum 'K4 Fe4 I12'
_cell_length_a 9.750
_cell_length_b 4.047
_cell_length_c 16.403
_cell_angle_alpha 90.00
_cell_angle_beta 90.00
_cell_angle_gamma 90.00
_space_group_name_H-M_alt 'P n m a'
_space_group_IT_number 62
loop_
_space_group_symop_operation_xyz
'x,y,z'
'-x,-y,-z'
'-x+1/2,-y,z+1/2'
'x+1/2,y,-z+1/2'
'x+1/2,-y+1/2,-z+1/2'
'-x+1/2,y+1/2,z+1/2'
'-x,y+1/2,-z'
'x,-y+1/2,z'
loop_
_atom_site_label
_atom_site_fract_x
_atom_site_fract_y
_atom_site_fract_z
_atom_site_occupancy
K1 0.059 0.250 0.172 1
Fe1 0.148 0.750 0.452 1
I1 0.014 0.750 0.587 1
I2 0.187 0.750 0.999 1
I3 0.238 0.250 0.802 1
```

Entry from Alexandria: an optimized crystal structure of Dy6YEr (PBE).

Results
Energy relative to the lowest polymorph listed for this composition, meV/atom: 187
Calculated density, kg/m³: 7981
VASP energy, eV per cell: -37.00
ΔE_f, kJ/mol of formula units: 157.9

Cell and atoms, written as CIF:
```
data_Dy6YEr
_chemical_formula_sum 'Dy6 Y1 Er1'
_cell_length_a 6.539
_cell_length_b 6.719
_cell_length_c 6.892
_cell_angle_alpha 118.76
_cell_angle_beta 103.08
_cell_angle_gamma 90.39
_space_group_name_H-M_alt 'P -1'
_space_group_IT_number 2
loop_
_space_group_symop_operation_xyz
'x,y,z'
'-x,-y,-z'
loop_
_atom_site_label
_atom_site_fract_x
_atom_site_fract_y
_atom_site_fract_z
_atom_site_occupancy
Dy1 0.228 0.404 0.475 1
Dy2 0.249 0.950 0.999 1
Dy3 0.269 0.925 0.519 1
Y1 0.500 0.500 0.000 1
Er1 0.000 0.500 0.000 1
```